Below is a relaxed structure of LaCd2Hg2, with properties calculated at the GGA-PBEsol level. Values from VASP.

Geometry as Quantum ESPRESSO input:
```
&SYSTEM
  ibrav = 0, nat = 5, ntyp = 3
/
ATOMIC_SPECIES
Hg 200.59 Hg.upf
Cd 112.41 Cd.upf
La 138.91 La.upf
CELL_PARAMETERS angstrom
4.390 0.000 0.000
0.000 4.390 0.000
-2.195 -2.195 6.383
ATOMIC_POSITIONS angstrom
Hg 0.000 0.000 5.004
Hg 2.195 2.195 1.379
Cd 0.000 2.195 3.191
Cd 2.195 0.000 3.191
La 0.000 0.000 0.000
```

Values from the calculation:
- electronic total energy (eV/atom) = -2.12
- calculated volume (Å³/cell) = 123.02